First-principles (PBE+U) data for a relaxed CoAs2IO crystal, as listed in Alexandria via LeMat-Bulk.

Cell lengths 5.0628, 5.0628, 3.5484 Å; angles 90.00, 90.00, 90.00 degrees
Closest atoms and distances in Å follow each position.
Fractional positions:
Co 0.0000 0.0000 0.0000  2 O 1.77
As 0.0000 0.5000 0.0000  2 Co 2.53
As 0.5000 0.0000 0.0000  2 Co 2.53
I 0.5000 0.5000 0.5000  8 As 3.09
O 0.0000 0.0000 0.5000  2 Co 1.77

Output
Final energy (eV for the cell shown): -19.62
Total magnetic moment (Bohr magnetons per cell): 2.0
Crystal system: tetragonal
Volume (Å³/cell): 91